Compound: TbPr2Bi
Source: Alexandria via LeMat-Bulk
Functional: PBE
Structure: relaxed

Summary:
Energy   -4.904 eV/atom

Cell: 4.348 4.348 6.940 Å, 90.00 90.00 90.00°
Positions (direct):
Tb 0.000 0.000 0.000
Pr 0.500 0.500 0.264
Pr 0.500 0.500 0.736
Bi 0.000 0.000 0.500

***

Compound: CaTc2BiO8
Source: Alexandria via LeMat-Bulk
Functional: PBE
Structure: relaxed

Summary:
Energy   -7.146 eV/atom
Formation energy (no corrections)   -1.622 eV/atom

Cell: 6.917 6.917 6.917 Å, 135.01 135.01 65.52°
Positions (direct):
Ca 0.000 0.000 0.000
Tc 0.500 0.500 0.000
Tc 0.750 0.250 0.500
Bi 0.250 0.750 0.500
O 0.261 0.667 0.092
O 0.333 0.425 0.594
O 0.417 0.014 0.094
O 0.575 0.169 0.908
O 0.677 0.583 0.597
O 0.831 0.739 0.406
O 0.920 0.323 0.906
O 0.986 0.080 0.403

***

Compound: CsBiS3
Source: Alexandria via LeMat-Bulk
Functional: PBE
Structure: relaxed

Summary:
Energy   -3.633 eV/atom
Formation energy (no corrections)   -0.210 eV/atom

Cell: 5.370 5.370 5.370 Å, 90.00 90.00 90.00°
Positions (direct):
Cs 0.000 0.000 0.000
Bi 0.500 0.500 0.500
S 0.000 0.500 0.500
S 0.500 0.000 0.500
S 0.500 0.500 0.000

***

Compound: TbNd2MgO
Source: Alexandria via LeMat-Bulk
Functional: PBE
Structure: relaxed

Summary:
Energy   -5.332 eV/atom
Formation energy (no corrections)   -1.188 eV/atom

Cell: 5.068 5.068 4.769 Å, 90.00 90.00 90.00°
Positions (direct):
Tb 0.000 0.000 0.000
Nd 0.000 0.500 0.500
Nd 0.500 0.000 0.500
Mg 0.500 0.500 0.000
O 0.000 0.000 0.500

***

Compound: Th2InAs
Source: Alexandria via LeMat-Bulk
Functional: PBE
Structure: relaxed

Summary:
Energy   -6.256 eV/atom

Cell: 8.558 8.558 8.558 Å, 27.71 27.71 27.71°
Positions (direct):
Th 0.239 0.239 0.239
Th 0.761 0.761 0.761
In 0.000 0.000 0.000
As 0.500 0.500 0.500

***

Compound: CaNdPtO4
Source: Alexandria via LeMat-Bulk
Functional: PBE
Structure: relaxed

Summary:
Energy   -6.707 eV/atom
Formation energy (no corrections)   -2.044 eV/atom

Cell: 6.991 6.991 6.991 Å, 125.71 117.81 87.12°
Positions (direct):
Ca 0.452 0.202 0.250
Ca 0.548 0.798 0.750
Nd 0.000 0.500 0.500
Nd 0.500 0.500 0.000
Pt 0.000 0.000 0.500
Pt 0.000 0.500 0.000
O 0.159 0.738 0.421
O 0.183 0.262 0.921
O 0.334 0.377 0.544
O 0.334 0.790 0.956
O 0.666 0.210 0.044
O 0.666 0.623 0.456
O 0.817 0.738 0.079
O 0.841 0.262 0.579

***

Compound: Y2ScZn2
Source: Alexandria via LeMat-Bulk
Functional: PBE
Structure: relaxed

Summary:
Energy   -4.287 eV/atom

Cell: 10.512 10.512 10.512 Å, 160.72 160.72 27.40°
Positions (direct):
Y 0.117 0.117 0.000
Y 0.883 0.883 0.000
Sc 0.500 0.500 0.000
Zn 0.250 0.750 0.500
Zn 0.750 0.250 0.500

***

Compound: InGaIO2
Source: Alexandria via LeMat-Bulk
Functional: PBE
Structure: relaxed

Summary:
Energy   -3.784 eV/atom
Formation energy (no corrections)   -0.338 eV/atom

Cell: 4.086 4.086 5.691 Å, 90.00 90.00 90.00°
Positions (direct):
In 0.000 0.000 0.000
Ga 0.500 0.500 0.500
I 0.500 0.500 0.000
O 0.000 0.500 0.500
O 0.500 0.000 0.500